Computed, not measured: an optimized crystal structure of NaLiLa2Se4 at the PBE level of DFT.

## Properties
Its energy relative to the elements, uncorrected is -1727 meV/atom.

```
NaLiLa2Se4
1.0
-1.821 -5.974 -5.884
7.595 1.386 -3.745
-0.348 -1.969 8.307
Se Na La Li
8 2 4 2
Direct
0.744 0.245 0.994
0.252 0.247 0.000
0.256 0.755 0.006
0.253 0.248 0.500
0.748 0.753 0.000
0.255 0.756 0.506
0.747 0.752 0.500
0.745 0.244 0.494
0.000 0.500 0.500
0.000 0.500 0.000
0.500 0.500 0.000
0.000 0.000 0.500
0.500 0.000 0.000
0.500 0.000 0.500
0.000 0.000 0.000
0.500 0.500 0.500
```

Computed, not measured: an optimized crystal structure of NaLiLa2Si at the PBE level of DFT.

## Properties
Its energy relative to the elements, uncorrected is 630 meV/atom.

```
NaLiLa2Si
1.0
5.806 0.000 0.000
0.000 4.282 0.000
0.000 0.000 5.806
La Si Na Li
2 1 1 1
Direct
0.000 0.000 0.500
0.500 0.000 0.000
0.500 0.500 0.500
0.000 0.000 0.000
0.000 0.500 0.000
```

Computed, not measured: an optimized crystal structure of NaLi2LaTi at the PBE level of DFT.

## Properties
The energy of formation comes out at 3.608 eV/f.u.

```
NaLi2LaTi
1.0
5.544 0.000 0.000
0.000 5.240 0.000
0.000 0.000 5.544
La Li Ti Na
1 2 1 1
Direct
0.000 0.500 0.000
0.500 0.000 0.000
0.000 0.000 0.500
0.000 0.000 0.000
0.500 0.500 0.500
```

Computed, not measured: an optimized crystal structure of NaLiLa2Tl4 at the PBE level of DFT.

## Properties
The energy of formation comes out at -2.637 eV/f.u.

```
NaLiLa2Tl4
1.0
-4.954 0.136 2.251
-4.073 -2.855 -2.211
-0.900 -7.830 5.071
Tl Li La Na
4 1 2 1
Direct
0.377 0.377 0.868
0.874 0.874 0.377
0.623 0.623 0.132
0.126 0.126 0.623
0.500 0.500 0.500
0.750 0.750 0.750
0.250 0.250 0.250
0.000 0.000 0.000
```

Computed, not measured: an optimized crystal structure of NaLiLaTl2 at the PBE level of DFT.

## Properties
The energy of formation comes out at -0.572 eV/f.u.

```
NaLiLaTl2
1.0
-5.075 -0.745 -0.506
0.183 -3.690 3.594
-0.850 3.395 3.529
Li Tl Na La
1 2 1 1
Direct
0.000 0.000 0.000
0.000 0.500 0.000
0.500 0.000 0.000
0.000 0.000 0.500
0.500 0.500 0.500
```

Computed, not measured: an optimized crystal structure of Li2LaNb at the PBE level of DFT.

## Properties
The energy above the most stable polymorph in this dataset is 110 meV/atom. The energy of formation comes out at 2.694 eV/f.u.

```
Li2LaNb
1.0
4.121 0.000 0.000
0.000 4.121 0.000
2.060 2.060 11.335
Nb La Li
2 2 4
Direct
0.250 0.750 0.500
0.500 0.500 0.000
0.750 0.250 0.500
0.000 0.000 0.000
0.875 0.828 0.750
0.172 0.625 0.250
0.578 0.125 0.250
0.375 0.422 0.750
```

Computed, not measured: an optimized crystal structure of Li2LaNb2 at the PBE level of DFT.

## Properties
The energy above the most stable polymorph in this dataset is 69 meV/atom. The energy of formation comes out at 2.832 eV/f.u.

```
Li2LaNb2
1.0
-5.687 -0.145 6.299
6.132 -2.078 5.488
0.482 2.739 0.498
Nb Li La
4 4 2
Direct
0.612 0.888 0.500
0.112 0.612 0.500
0.888 0.388 0.500
0.388 0.112 0.500
0.180 0.320 0.000
0.320 0.820 0.000
0.820 0.680 0.000
0.680 0.180 0.000
0.500 0.500 0.000
0.000 0.000 0.000
```

Computed, not measured: an optimized crystal structure of Li2LaNb2 at the PBE level of DFT.

## Properties
The energy above the most stable polymorph in this dataset is 0 meV/atom. The energy of formation comes out at 2.487 eV/f.u.

```
Li2LaNb2
1.0
-3.211 1.551 -1.419
-1.739 -3.416 0.202
-4.688 0.588 6.060
Nb La Li
2 1 2
Direct
0.250 0.750 0.500
0.750 0.250 0.500
0.000 0.000 0.000
0.603 0.603 0.793
0.397 0.397 0.207
```

Computed, not measured: an optimized crystal structure of Li3LaNb at the PBE level of DFT.

## Properties
The energy above the most stable polymorph in this dataset is 0 meV/atom. The energy of formation comes out at 4.616 eV/f.u.

```
Li3LaNb
1.0
-3.631 -2.417 2.603
2.779 0.385 4.234
-2.212 4.451 1.047
Nb Li La
1 3 1
Direct
0.000 0.000 0.000
0.000 0.000 0.500
0.500 0.000 0.000
0.000 0.500 0.000
0.500 0.500 0.500
```

Computed, not measured: an optimized crystal structure of LiLaNb3 at the PBE level of DFT.

## Properties
The energy above the most stable polymorph in this dataset is 596 meV/atom. The energy of formation comes out at 8.430 eV/f.u.

```
LiLaNb3
1.0
4.926 0.000 0.000
0.000 4.926 0.000
0.000 0.000 4.926
Li Nb La
1 3 1
Direct
0.500 0.500 0.500
0.000 0.000 0.500
0.500 0.000 0.000
0.000 0.500 0.000
0.000 0.000 0.000
```

Computed, not measured: an optimized crystal structure of Li3LaNb at the PBE level of DFT.

## Properties
The energy above the most stable polymorph in this dataset is 631 meV/atom. The energy of formation comes out at 7.771 eV/f.u.

```
Li3LaNb
1.0
4.766 0.000 0.000
0.000 4.766 0.000
0.000 0.000 4.766
Li La Nb
3 1 1
Direct
0.000 0.000 0.500
0.000 0.500 0.000
0.500 0.000 0.000
0.000 0.000 0.000
0.500 0.500 0.500
```

Computed, not measured: an optimized crystal structure of LiLa3Nb at the PBE level of DFT.

## Properties
The energy above the most stable polymorph in this dataset is 0 meV/atom. The energy of formation comes out at 1.839 eV/f.u.

```
LiLa3Nb
1.0
5.694 0.000 0.000
0.000 5.694 0.000
0.000 0.000 5.694
La Nb Li
3 1 1
Direct
0.000 0.500 0.000
0.500 0.000 0.000
0.000 0.000 0.500
0.000 0.000 0.000
0.500 0.500 0.500
```